! ErSc2Ru9 GGA-PBE relaxed; values from VASP
&SYSTEM
  ibrav = 0, nat = 12, ntyp = 3
/
ATOMIC_SPECIES
Er 167.26 Er.upf
Sc 44.96 Sc.upf
Ru 101.07 Ru.upf
CELL_PARAMETERS angstrom
2.594 1.498 8.582
-2.594 1.498 8.582
0.000 -2.995 8.582
ATOMIC_POSITIONS crystal
Er 0.000 0.000 0.000
Sc 0.140 0.140 0.140
Sc 0.860 0.860 0.860
Ru 0.074 0.591 0.591
Ru 0.338 0.338 0.338
Ru 0.409 0.409 0.926
Ru 0.409 0.926 0.409
Ru 0.500 0.500 0.500
Ru 0.591 0.074 0.591
Ru 0.591 0.591 0.074
Ru 0.662 0.662 0.662
Ru 0.926 0.409 0.409
! - SG: No. 166
! - DOS at the Fermi energy: 16.64 states/eV/cell
! - DFT total energy: -8.55 eV per atom

=====

! LiMg6Tl8 GGA-PBE relaxed; values from VASP
&SYSTEM
  ibrav = 0, nat = 15, ntyp = 3
/
ATOMIC_SPECIES
Li 6.94 Li.upf
Mg 24.30 Mg.upf
Tl 204.38 Tl.upf
CELL_PARAMETERS angstrom
4.461 2.575 5.926
-4.461 2.575 5.926
0.000 -5.151 5.926
ATOMIC_POSITIONS crystal
Li 0.000 0.000 0.000
Mg 0.049 0.374 0.690
Mg 0.310 0.951 0.626
Mg 0.374 0.690 0.049
Mg 0.626 0.310 0.951
Mg 0.690 0.049 0.374
Mg 0.951 0.626 0.310
Tl 0.132 0.635 0.845
Tl 0.155 0.868 0.365
Tl 0.295 0.295 0.295
Tl 0.365 0.155 0.868
Tl 0.635 0.845 0.132
Tl 0.705 0.705 0.705
Tl 0.845 0.132 0.635
Tl 0.868 0.365 0.155
! - SG: No. 148
! - DOS at the Fermi energy: 5.81 states/eV/cell
! - DFT total energy: -2.02 eV per atom

=====

no.,E_form (kJ/mol of atoms)
1,-15.14
2,0.96